1.
Compound: PuFeCl6
Source: the Alexandria database
Functional: PBE-GGA
Structure: optimized geometry

Lattice parameters (Å, degrees): 7.2797 11.5040 6.3207 90.00 97.20 90.00
With the nearest neighbours (Å) after each atom.
Space group C2/m (No. 12)
Symmetry-distinct sites (fractional):
1 Pu 0.0000 0.0000 0.0000  6 Cl 2.64-2.65
2 Fe 0.0000 0.0000 0.5000  6 Cl 2.31
3 Cl 0.1320 0.1428 0.7273  1 Fe 2.31
4 Cl 0.2375 0.5000 0.6705  1 Fe 2.31

***

2.
Compound: PuFe2Cl8
Source: the Alexandria database
Functional: PBE-GGA
Structure: optimized geometry

Lattice parameters (Å, degrees): 12.7930 9.0681 6.5115 90.00 96.08 90.00
With the nearest neighbours (Å) after each atom.
Space group C2/m (No. 12)
Symmetry-distinct sites (fractional):
1 Pu 0.0000 0.0000 0.0000  6 Cl 2.73-2.75
2 Fe 0.1942 0.0000 0.6418  4 Cl 2.14-2.31
3 Cl 0.0987 0.1921 0.7629  1 Fe 2.31
4 Cl 0.1439 0.5000 0.2325  1 Fe 2.14
5 Cl 0.1730 0.0000 0.2885  1 Fe 2.29

***

3.
Compound: RbFe3Cl12
Source: the Alexandria database
Functional: PBE-GGA
Structure: optimized geometry

Lattice parameters (Å, degrees): 11.2885 11.2885 35.3122 90.00 90.00 120.00
With the nearest neighbours (Å) after each atom.
Space group R3c (No. 161, hexagonal axes)
Symmetry-distinct sites (fractional):
1 Rb 0.0000 0.0000 0.0000  9 Cl 3.51-3.66
2 Fe 0.0098 0.3212 0.1029  4 Cl 2.14-2.16
3 Cl 0.0011 0.4780 0.9375  1 Fe 2.14
4 Cl 0.0202 0.4545 0.8225  1 Fe 2.16
5 Cl 0.0304 0.4617 0.7170  1 Fe 2.16
6 Cl 0.0423 0.5153 0.6015  1 Fe 2.16

***

4.
Compound: Rb3FeCl5
Source: the Alexandria database
Functional: PBE-GGA
Structure: optimized geometry

Lattice parameters (Å, degrees): 9.0087 9.0087 14.4048 90.00 90.00 90.00
With the nearest neighbours (Å) after each atom.
Space group I4/mcm (No. 140)
Symmetry-distinct sites (fractional):
1 Rb 0.0000 0.0000 0.2500  10 Cl 3.60-3.74
2 Rb 0.1657 0.3343 0.0000  8 Cl 3.29-3.55
3 Fe 0.0000 0.5000 0.2500  4 Cl 2.29
4 Cl 0.0000 0.0000 0.0000  6 Rb 3.36-3.60
5 Cl 0.1423 0.3577 0.3471  1 Fe 2.29

***

The calculation returns the following uncorrected formation energy values, one per record and in order: -1.23; -1.14; -0.82; -1.56 eV per atom.